PBE Sr2NiB, optimized geometry; calculated volume = 26.38 Å³ per atom; M_tot = 1.075 μB per formula unit; crystal system = tetragonal; symmetry = I-42d, No. 122; E_form = 888 meV/atom
1.0
7.723 0.000 0.000
0.000 7.723 0.000
3.861 3.861 3.538
Ni Sr B
2 4 2
Cartesian
0.000 0.000 0.000 Ni
7.723 3.861 1.769 Ni
5.792 5.894 2.654 Sr
9.654 9.552 2.654 Sr
2.033 5.792 0.885 Sr
5.690 1.931 0.885 Sr
3.861 3.861 0.000 B
3.861 7.723 1.769 B